[1]
Material: GaPbN2
Method: DFT, PBE-GGA
State: optimized geometry

Space-group type = I-42d
Energy above the most stable polymorph in this dataset = 0.000 eV per atom
ΔE_f (raw) = 0.297 eV per atom

```
GaPbN2
1.0
-2.525 2.525 4.880
2.525 -2.525 4.880
2.525 2.525 -4.880
Ga Pb N
2 2 4
Cartesian
0.000 0.000 0.000 Ga
0.000 2.525 2.440 Ga
2.525 0.000 2.440 Pb
0.000 0.000 4.880 Pb
3.788 0.949 -1.220 N
0.949 1.263 1.220 N
-1.263 1.576 3.660 N
1.576 1.263 6.100 N
```


[2]
Material: Be2ZnCu
Method: DFT, PBE-GGA
State: optimized geometry

Space-group type = I-4m2
E_form = 0.05 eV/atom

```
Be2ZnCu
1.0
-1.720 1.720 3.568
1.720 -1.720 3.568
1.720 1.720 -3.568
Be Zn Cu
2 1 1
Cartesian
0.000 0.000 0.000 Be
0.000 1.720 1.784 Be
1.720 0.000 1.784 Zn
0.000 0.000 3.568 Cu
```


[3]
Material: CuH11C5NO6
Method: DFT, PBE-GGA
State: optimized geometry

Space-group type = C2/c
Electronic total energy = -5.810 eV per atom

```
CuH11C5NO6
1.0
6.973 -4.529 0.000
6.973 4.529 0.000
-5.274 0.000 7.478
Cu H C N O
2 22 10 2 12
Cartesian
3.487 2.265 0.000 Cu
0.850 -2.265 3.739 Cu
2.168 3.445 5.541 H
3.129 2.652 3.504 H
5.655 3.035 1.870 H
3.868 3.445 5.676 H
2.242 1.320 4.326 H
0.159 0.180 5.341 H
2.796 -0.180 1.602 H
8.181 2.652 0.235 H
2.011 1.398 6.811 H
4.025 1.398 4.406 H
3.794 1.320 6.892 H
4.879 -1.320 0.587 H
4.648 -1.398 3.072 H
6.662 -1.398 0.667 H
0.492 -2.652 7.243 H
5.876 0.180 5.877 H
8.514 -0.180 2.137 H
6.431 -1.320 3.153 H
4.805 -3.445 1.802 H
3.018 -3.035 5.609 H
5.544 -2.652 3.975 H
6.505 -3.445 1.937 H
1.873 0.434 1.577 C
3.105 1.991 4.376 C
-0.764 -0.434 5.316 C
5.655 1.931 1.870 C
2.930 1.991 6.842 C
5.742 -1.991 0.637 C
3.018 -1.931 5.609 C
9.436 0.434 2.162 C
5.567 -1.991 3.102 C
6.799 -0.434 5.901 C
3.018 2.812 5.609 N
5.655 -2.812 1.870 N
1.922 1.561 0.969 O
-1.801 0.005 5.885 O
0.836 -0.005 2.146 O
4.752 1.318 1.216 O
-0.715 -1.561 4.708 O
6.558 1.318 2.523 O
2.115 -1.318 4.955 O
9.388 1.561 2.770 O
3.921 -1.318 6.262 O
7.836 0.005 5.333 O
10.473 -0.005 1.594 O
6.751 -1.561 6.510 O
```


[4]
Material: Li4TcO5
Method: DFT, PBE-GGA
State: optimized geometry

Space-group type = I4/m
ΔE_f (raw) = -1.785 eV per atom

```
Li4TcO5
1.0
-3.329 3.329 2.009
3.329 -3.329 2.009
3.329 3.329 -2.009
Li Tc O
4 1 5
Cartesian
4.596 0.671 0.000 Li
0.671 2.062 0.000 Li
2.658 1.267 2.009 Li
-1.267 2.658 2.009 Li
0.000 0.000 2.009 Tc
0.000 0.000 0.000 O
2.750 1.503 0.000 O
1.826 -0.579 2.009 O
1.503 3.907 0.000 O
0.579 1.826 2.009 O
```


[5]
Material: CsTl2Cl3
Method: DFT, PBE-GGA
State: optimized geometry

Space-group type = Cmcm
Energy above the most stable polymorph in this dataset = 0.042 eV per atom
ΔE_f (raw) = -1.249 eV per atom

```
CsTl2Cl3
1.0
6.923 -4.181 0.000
6.923 4.181 0.000
0.000 0.000 8.384
Cs Tl Cl
2 4 6
Cartesian
6.923 3.964 6.288 Cs
6.923 -3.964 2.096 Cs
4.588 0.000 0.000 Tl
4.588 0.000 4.192 Tl
9.258 0.000 0.000 Tl
9.258 0.000 4.192 Tl
4.206 2.507 2.096 Cl
9.640 2.507 2.096 Cl
6.923 0.694 6.288 Cl
6.923 -0.694 2.096 Cl
4.206 -2.507 6.288 Cl
9.640 -2.507 6.288 Cl
```


[6]
Material: LaZnGe3
Method: DFT, PBE-GGA
State: optimized geometry

Space-group type = Pm-3m
E_form = 0.99 eV/atom

```
LaZnGe3
1.0
5.723 0.000 0.000
0.000 5.723 0.000
0.000 0.000 5.723
La Zn Ge
1 1 3
Cartesian
0.000 0.000 0.000 La
2.861 2.861 2.861 Zn
0.000 0.000 2.861 Ge
0.000 2.861 0.000 Ge
2.861 0.000 0.000 Ge
```


[7]
Material: DyErZn
Method: DFT, PBE-GGA
State: optimized geometry

Space-group type = I4mm
Energy above the most stable polymorph in this dataset = 0.000 eV per atom
E_form = -0.21 eV/atom

```
DyErZn
1.0
-1.778 1.778 6.053
1.778 -1.778 6.053
1.778 1.778 -6.053
Dy Er Zn
1 1 1
Cartesian
0.000 0.000 0.000 Dy
0.000 0.000 3.493 Er
0.000 0.000 7.832 Zn
```


[8]
Material: Zn2GaIr2
Method: DFT, PBE-GGA
State: optimized geometry

Space-group type = P4/mbm
Energy above the most stable polymorph in this dataset = 0.000 eV per atom
E_form = -0.24 eV/atom

```
Zn2GaIr2
1.0
6.350 0.000 0.000
0.000 6.350 0.000
0.000 0.000 3.920
Zn Ga Ir
4 2 4
Cartesian
0.991 2.184 0.000 Zn
2.184 5.359 0.000 Zn
4.166 0.991 0.000 Zn
5.359 4.166 0.000 Zn
0.000 0.000 1.960 Ga
3.175 3.175 1.960 Ga
0.917 4.092 1.960 Ir
2.258 0.917 1.960 Ir
4.092 5.433 1.960 Ir
5.433 2.258 1.960 Ir
```


[9]
Material: YHo5Sc4
Method: DFT, PBE-GGA
State: optimized geometry

Space-group type = Pmmn
Energy above the most stable polymorph in this dataset = 0.105 eV per atom
E_form = 0.15 eV/atom

```
YHo5Sc4
1.0
8.705 0.000 0.000
0.000 8.714 0.000
0.000 0.000 7.699
Y Ho Sc
2 10 8
Cartesian
2.176 2.179 0.936 Y
6.529 6.536 6.763 Y
0.502 0.504 6.155 Ho
0.502 3.853 6.155 Ho
2.176 6.536 0.003 Ho
3.850 0.504 6.155 Ho
3.850 3.853 6.155 Ho
4.855 4.861 1.544 Ho
4.855 8.210 1.544 Ho
6.529 2.179 7.697 Ho
8.202 4.861 1.544 Ho
8.202 8.210 1.544 Ho
0.188 6.536 4.519 Sc
2.176 4.519 3.184 Sc
2.176 8.553 3.184 Sc
4.165 6.536 4.519 Sc
4.540 2.179 3.180 Sc
6.529 0.161 4.515 Sc
6.529 4.196 4.515 Sc
8.517 2.179 3.180 Sc
```


[10]
Material: Pa6GeP2S3
Method: DFT, PBE-GGA
State: optimized geometry

Space-group type = C2/m
ΔE_f (raw) = -1.332 eV per atom

```
Pa6GeP2S3
1.0
8.551 -2.006 0.000
8.551 2.006 0.000
-1.476 0.000 7.683
Pa Ge P S
6 1 2 3
Cartesian
16.747 0.000 1.830 Pa
-1.120 0.000 5.853 Pa
5.016 0.000 3.199 Pa
4.364 0.000 7.037 Pa
11.263 0.000 0.645 Pa
10.611 0.000 4.483 Pa
7.814 0.000 3.841 Ge
1.635 0.000 6.402 P
13.992 0.000 1.280 P
2.323 0.000 2.552 S
8.551 0.000 0.000 S
13.304 0.000 5.131 S
```